DFT (PBE-GGA) results for an optimized crystal structure of ZrPdPt.

abc: 4.5661 4.5661 2.8908
angles: 90.00 90.00 120.00
Last column: nearest neighbours and their distance in Å.
Sites, in units of the cell vectors:
Zr: 0.0000 0.0000 0.0000  3 Pd 2.77, 3 Pt 2.82, 2 Zr 2.89
Pd: 0.3333 0.6667 0.7077  3 Zr 2.77, 3 Pt 2.83, 2 Pd 2.89
Pt: 0.6667 0.3333 0.3504  3 Zr 2.82, 3 Pd 2.83, 2 Pt 2.89

Output
Theoretical density ... 12.49 g/cm³
E_form ... -712 meV per atom
Size of the total moment ... 0.00 μB per atom
Electronic total energy ... -21.92 eV per cell
Density of states at the Fermi level ... 2.61 states/eV/cell



DFT (PBE-GGA) results for an optimized crystal structure of Ba2IrO.

abc: 6.8697 6.8697 6.8697
angles: 114.59 114.59 99.67
Last column: nearest neighbours and their distance in Å.
Sites, in units of the cell vectors:
Ba: 0.0602 0.6250 0.9352  2 O 2.56
Ba: 0.3750 0.3102 0.4352  2 O 2.56
Ba: 0.6898 0.1250 0.0648  2 O 2.56
Ba: 0.8750 0.9398 0.5648  2 O 2.56
Ir: 0.2500 0.7500 0.5000  4 Ba 3.18
Ir: 0.5000 0.5000 0.0000  4 Ba 3.18
O: 0.0000 0.0000 0.0000  4 Ba 2.56
O: 0.7500 0.2500 0.5000  4 Ba 2.56

Output
Theoretical density ... 6.57 g/cm³
Size of the total moment ... 0.25 μB per atom
Electronic total energy ... -41.20 eV per cell
Density of states at the Fermi level ... 4.95 states/eV/cell



DFT (PBE-GGA) results for an optimized crystal structure of Ac2PrTl.

abc: 11.7752 11.7752 11.7752
angles: 19.44 19.44 19.44
Last column: nearest neighbours and their distance in Å.
Sites, in units of the cell vectors:
Ac: 0.0000 0.0000 0.0000  3 Tl 3.53, 3 Pr 3.85
Ac: 0.1787 0.1787 0.1787  3 Tl 3.53, 3 Pr 3.86
Pr: 0.4226 0.4226 0.4226  6 Ac 3.85-3.86, 6 Pr 3.98
Tl: 0.5894 0.5894 0.5894  6 Ac 3.53

Output
Theoretical density ... 8.39 g/cm³
E_form ... -72 meV per atom
Size of the total moment ... 0.00 μB per atom
Electronic total energy ... -15.65 eV per cell
Density of states at the Fermi level ... 6.00 states/eV/cell



DFT (PBE-GGA) results for an optimized crystal structure of SmScPd2.

abc: 3.3654 3.3654 7.1988
angles: 90.00 90.00 90.00
Last column: nearest neighbours and their distance in Å.
Sites, in units of the cell vectors:
Sm: 0.0000 0.0000 0.0000  8 Pd 3.13, 4 Sm 3.37
Sc: 0.0000 0.0000 0.5000  8 Pd 2.85
Pd: 0.5000 0.5000 0.2829  4 Sc 2.85, 1 Pd 3.13, 4 Sm 3.13
Pd: 0.5000 0.5000 0.7171  4 Sc 2.85, 1 Pd 3.13, 4 Sm 3.13

Output
Theoretical density ... 8.31 g/cm³
E_form ... -822 meV per atom
Size of the total moment ... 0.00 μB per atom
Electronic total energy ... -24.72 eV per cell
Density of states at the Fermi level ... 3.31 states/eV/cell